Record 1
! Zr6Pd2N | Alexandria via LeMat-Bulk | PBE-GGA | relaxed; values from VASP
! Fermi-level density of states	17.58	states/eV per cell
! formation energy without anion corrections	-634	meV/atom
&SYSTEM
  ibrav = 0, nat = 18, ntyp = 3
/
ATOMIC_SPECIES
Zr 91.22 Zr.upf
Pd 106.42 Pd.upf
N 14.01 N.upf
ATOMIC_POSITIONS crystal
Zr 0.1029 0.0189 0.2368
Zr 0.1029 0.4811 0.7368
Zr 0.2097 0.6881 0.0436
Zr 0.2097 0.8119 0.5436
Zr 0.3693 0.1880 0.0448
Zr 0.3693 0.3120 0.5448
Zr 0.6307 0.6880 0.4552
Zr 0.6307 0.8120 0.9552
Zr 0.7903 0.1881 0.4564
Zr 0.7903 0.3119 0.9564
Zr 0.8971 0.5189 0.2632
Zr 0.8971 0.9811 0.7632
Pd 0.3432 0.1023 0.7549
Pd 0.3432 0.3977 0.2549
Pd 0.6568 0.6023 0.7451
Pd 0.6568 0.8977 0.2451
N 0.0000 0.0000 0.0000
N 0.0000 0.5000 0.5000
CELL_PARAMETERS angstrom
5.8589 0.0000 0.0000
0.0000 6.3678 0.0000
-5.3952 0.0000 9.4807

***

Record 2
! ZrPd2N2 | Alexandria via LeMat-Bulk | PBE-GGA | relaxed; values from VASP
! offset from the most stable computed form	27.21	kJ per mole of atoms
! Fermi-level density of states	1.31	states/eV per cell
! formation energy without anion corrections	726	meV/atom
&SYSTEM
  ibrav = 0, nat = 10, ntyp = 3
/
ATOMIC_SPECIES
Zr 91.22 Zr.upf
Pd 106.42 Pd.upf
N 14.01 N.upf
ATOMIC_POSITIONS crystal
Zr 0.0000 0.0000 0.0000
Zr 0.5000 0.5000 0.0000
Pd 0.1284 0.3716 0.0000
Pd 0.3716 0.8716 0.0000
Pd 0.6284 0.1284 0.0000
Pd 0.8716 0.6284 0.0000
N 0.2250 0.7250 0.5000
N 0.2750 0.2250 0.5000
N 0.7250 0.7750 0.5000
N 0.7750 0.2750 0.5000
CELL_PARAMETERS angstrom
6.8855 0.0000 0.0000
0.0000 6.8855 0.0000
0.0000 0.0000 2.9284

***

Record 3
! Zr6PdN3 | Alexandria via LeMat-Bulk | PBE-GGA | relaxed; values from VASP
! Fermi-level density of states	11.72	states/eV per cell
! formation energy without anion corrections	-1160	meV/atom
&SYSTEM
  ibrav = 0, nat = 20, ntyp = 3
/
ATOMIC_SPECIES
Zr 91.22 Zr.upf
Pd 106.42 Pd.upf
N 14.01 N.upf
ATOMIC_POSITIONS crystal
Zr 0.0398 0.2500 0.3759
Zr 0.1456 0.7500 0.1354
Zr 0.2646 0.2500 0.6663
Zr 0.3397 0.7500 0.4430
Zr 0.3589 0.7500 0.9470
Zr 0.4383 0.2500 0.2279
Zr 0.5617 0.7500 0.7721
Zr 0.6411 0.2500 0.0530
Zr 0.6603 0.2500 0.5570
Zr 0.7354 0.7500 0.3337
Zr 0.8544 0.2500 0.8646
Zr 0.9602 0.7500 0.6241
Pd 0.1242 0.2500 0.8859
Pd 0.8758 0.7500 0.1141
N 0.1443 0.7500 0.5234
N 0.2305 0.2500 0.2841
N 0.4565 0.2500 0.8563
N 0.5435 0.7500 0.1437
N 0.7695 0.7500 0.7159
N 0.8557 0.2500 0.4766
CELL_PARAMETERS angstrom
10.0598 0.0000 0.0000
0.0000 3.2929 0.0000
-3.5154 0.0000 9.7743

***

Record 4
! ZrPd3N | Alexandria via LeMat-Bulk | PBE-GGA | relaxed; values from VASP
! offset from the most stable computed form	165.15	kJ per mole of atoms
! Fermi-level density of states	2.24	states/eV per cell
! formation energy without anion corrections	1736	meV/atom
&SYSTEM
  ibrav = 0, nat = 5, ntyp = 3
/
ATOMIC_SPECIES
Zr 91.22 Zr.upf
Pd 106.42 Pd.upf
N 14.01 N.upf
ATOMIC_POSITIONS crystal
Zr 0.0000 0.0000 0.0000
Pd 0.0000 0.0000 0.5000
Pd 0.0000 0.5000 0.0000
Pd 0.5000 0.0000 0.0000
N 0.5000 0.5000 0.5000
CELL_PARAMETERS angstrom
4.9717 0.0000 0.0000
0.0000 4.9717 0.0000
0.0000 0.0000 4.9717

***

Record 5
! Zr4PdN | Alexandria via LeMat-Bulk | PBE-GGA | relaxed; values from VASP
! Fermi-level density of states	12.55	states/eV per cell
! formation energy without anion corrections	-635	meV/atom
&SYSTEM
  ibrav = 0, nat = 12, ntyp = 3
/
ATOMIC_SPECIES
Zr 91.22 Zr.upf
Pd 106.42 Pd.upf
N 14.01 N.upf
ATOMIC_POSITIONS crystal
Zr 0.1010 0.1662 0.1987
Zr 0.1010 0.3338 0.6987
Zr 0.3300 0.6379 0.0994
Zr 0.3300 0.8621 0.5994
Zr 0.6700 0.1379 0.4006
Zr 0.6700 0.3621 0.9006
Zr 0.8990 0.6662 0.3013
Zr 0.8990 0.8338 0.8013
Pd 0.5000 0.0000 0.0000
Pd 0.5000 0.5000 0.5000
N 0.0000 0.0000 0.5000
N 0.0000 0.5000 0.0000
CELL_PARAMETERS angstrom
6.0419 0.0000 0.0000
0.0000 6.1097 0.0000
-1.1559 0.0000 6.2085

***

Record 6
! Zr4Pd2N | Alexandria via LeMat-Bulk | PBE-GGA | relaxed; values from VASP
! offset from the most stable computed form	0.00	kJ per mole of atoms
! Fermi-level density of states	22.22	states/eV per cell
! formation energy without anion corrections	-924	meV/atom
&SYSTEM
  ibrav = 0, nat = 28, ntyp = 3
/
ATOMIC_SPECIES
Zr 91.22 Zr.upf
Pd 106.42 Pd.upf
N 14.01 N.upf
ATOMIC_POSITIONS crystal
Zr 0.0000 0.0000 0.0000
Zr 0.0000 0.0000 0.5000
Zr 0.0000 0.5000 0.0000
Zr 0.1944 0.1944 0.5556
Zr 0.1944 0.5556 0.1944
Zr 0.1944 0.5556 0.5556
Zr 0.4444 0.4444 0.8056
Zr 0.4444 0.8056 0.4444
Zr 0.4444 0.8056 0.8056
Zr 0.5000 0.0000 0.0000
Zr 0.5556 0.1944 0.1944
Zr 0.5556 0.1944 0.5556
Zr 0.5556 0.5556 0.1944
Zr 0.8056 0.4444 0.4444
Zr 0.8056 0.4444 0.8056
Zr 0.8056 0.8056 0.4444
Pd 0.1429 0.7857 0.7857
Pd 0.2143 0.2143 0.2143
Pd 0.2143 0.2143 0.8571
Pd 0.2143 0.8571 0.2143
Pd 0.7857 0.1429 0.7857
Pd 0.7857 0.7857 0.1429
Pd 0.7857 0.7857 0.7857
Pd 0.8571 0.2143 0.2143
N 0.0000 0.5000 0.5000
N 0.5000 0.0000 0.5000
N 0.5000 0.5000 0.0000
N 0.5000 0.5000 0.5000
CELL_PARAMETERS angstrom
0.0000 6.2782 6.2782
6.2782 0.0000 6.2782
6.2782 6.2782 0.0000

***

Record 7
! ZrPd3N | Alexandria via LeMat-Bulk | PBE-GGA | relaxed; values from VASP
! offset from the most stable computed form	0.00	kJ per mole of atoms
! Fermi-level density of states	7.82	states/eV per cell
! formation energy without anion corrections	24	meV/atom
&SYSTEM
  ibrav = 0, nat = 5, ntyp = 3
/
ATOMIC_SPECIES
Zr 91.22 Zr.upf
Pd 106.42 Pd.upf
N 14.01 N.upf
ATOMIC_POSITIONS crystal
Zr 0.0000 0.0000 0.0000
Pd 0.0000 0.5000 0.5000
Pd 0.5000 0.0000 0.5000
Pd 0.5000 0.5000 0.0000
N 0.5000 0.5000 0.5000
CELL_PARAMETERS angstrom
4.2393 0.0000 0.0000
0.0000 4.2393 0.0000
0.0000 0.0000 4.2393

***

Record 8
! Zr6Pd3N | Alexandria via LeMat-Bulk | PBE-GGA | relaxed; values from VASP
! Fermi-level density of states	14.87	states/eV per cell
! formation energy without anion corrections	-646	meV/atom
&SYSTEM
  ibrav = 0, nat = 20, ntyp = 3
/
ATOMIC_SPECIES
Zr 91.22 Zr.upf
Pd 106.42 Pd.upf
N 14.01 N.upf
ATOMIC_POSITIONS crystal
Zr 0.0710 0.0520 0.2363
Zr 0.0710 0.4480 0.7363
Zr 0.1991 0.7275 0.0677
Zr 0.1991 0.7725 0.5677
Zr 0.3749 0.1447 0.0454
Zr 0.3749 0.3553 0.5454
Zr 0.6251 0.6447 0.4546
Zr 0.6251 0.8553 0.9546
Zr 0.8009 0.2275 0.4323
Zr 0.8009 0.2725 0.9323
Zr 0.9290 0.5520 0.2637
Zr 0.9290 0.9480 0.7637
Pd 0.3238 0.1019 0.7225
Pd 0.3238 0.3981 0.2225
Pd 0.5000 0.0000 0.5000
Pd 0.5000 0.5000 0.0000
Pd 0.6762 0.6019 0.7775
Pd 0.6762 0.8981 0.2775
N 0.0000 0.0000 0.0000
N 0.0000 0.5000 0.5000
CELL_PARAMETERS angstrom
5.8634 0.0000 0.0000
0.0000 7.3441 0.0000
-4.8773 0.0000 8.9584

***

Record 9
! Zr4Pd2N | Alexandria via LeMat-Bulk | PBE-GGA | relaxed; values from VASP
! offset from the most stable computed form	15.16	kJ per mole of atoms
! Fermi-level density of states	4.40	states/eV per cell
! formation energy without anion corrections	-767	meV/atom
&SYSTEM
  ibrav = 0, nat = 7, ntyp = 3
/
ATOMIC_SPECIES
Zr 91.22 Zr.upf
Pd 106.42 Pd.upf
N 14.01 N.upf
ATOMIC_POSITIONS crystal
Zr 0.0000 0.5000 0.5000
Zr 0.1783 0.1783 0.0000
Zr 0.5000 0.0000 0.5000
Zr 0.8217 0.8217 0.0000
Pd 0.3658 0.3658 0.0000
Pd 0.6342 0.6342 0.0000
N 0.0000 0.0000 0.0000
CELL_PARAMETERS angstrom
-2.2097 2.2097 6.8004
2.2097 -2.2097 6.8004
2.2097 2.2097 -6.8004

***

Record 10
! ZrPdN3 | Alexandria via LeMat-Bulk | PBE-GGA | relaxed; values from VASP
! Fermi-level density of states	3.29	states/eV per cell
! formation energy without anion corrections	956	meV/atom
&SYSTEM
  ibrav = 0, nat = 5, ntyp = 3
/
ATOMIC_SPECIES
Zr 91.22 Zr.upf
Pd 106.42 Pd.upf
N 14.01 N.upf
ATOMIC_POSITIONS crystal
Zr 0.0000 0.0000 0.0000
Pd 0.5000 0.5000 0.5000
N 0.0000 0.5000 0.5000
N 0.5000 0.0000 0.5000
N 0.5000 0.5000 0.0000
CELL_PARAMETERS angstrom
3.8716 0.0000 0.0000
0.0000 3.8716 0.0000
0.0000 0.0000 3.8716

***

Record 11
! ZrPdN2 | Alexandria via LeMat-Bulk | PBE-GGA | relaxed; values from VASP
! offset from the most stable computed form	36.93	kJ per mole of atoms
! Fermi-level density of states	3.81	states/eV per cell
! formation energy without anion corrections	87	meV/atom
&SYSTEM
  ibrav = 0, nat = 4, ntyp = 3
/
ATOMIC_SPECIES
Zr 91.22 Zr.upf
Pd 106.42 Pd.upf
N 14.01 N.upf
ATOMIC_POSITIONS crystal
Zr 0.0000 0.0000 0.0000
Pd 0.5000 0.5000 0.5000
N 0.2500 0.2500 0.2500
N 0.7500 0.7500 0.7500
CELL_PARAMETERS angstrom
0.0000 2.8235 2.8235
2.8235 0.0000 2.8235
2.8235 2.8235 0.0000

***

Record 12
! ZrPdN2 | Alexandria via LeMat-Bulk | PBE-GGA | relaxed; values from VASP
! offset from the most stable computed form	0.00	kJ per mole of atoms
! Fermi-level density of states	3.48	states/eV per cell
! formation energy without anion corrections	-295	meV/atom
&SYSTEM
  ibrav = 0, nat = 8, ntyp = 3
/
ATOMIC_SPECIES
Zr 91.22 Zr.upf
Pd 106.42 Pd.upf
N 14.01 N.upf
ATOMIC_POSITIONS crystal
Zr 0.0000 0.0000 0.0000
Zr 0.7500 0.2500 0.5000
Pd 0.2500 0.7500 0.5000
Pd 0.5000 0.5000 0.0000
N 0.1165 0.6250 0.9915
N 0.3750 0.3665 0.4915
N 0.6335 0.1250 0.0085
N 0.8750 0.8835 0.5085
CELL_PARAMETERS angstrom
-2.3907 2.3907 5.0995
2.3907 -2.3907 5.0995
2.3907 2.3907 -5.0995